1.
VCl | GGA-PBE | relaxed

a b c (Å): 6.009 6.009 4.546
angles (deg): 90.00 90.00 90.00
Element x y z (fractional)
Cl  0.715  0.285  0.000
Cl  0.215  0.215  0.500
Cl  0.785  0.785  0.500
Cl  0.285  0.715  0.000
V  0.107  0.107  0.000
V  0.893  0.893  0.000
V  0.393  0.607  0.500
V  0.607  0.393  0.500

Computed properties:
Its symmetry is P4_2/mnm (136). The formation energy without anion corrections comes out at -0.14 eV per atom.

---

2.
TbU2Si2Pt7 | GGA-PBE | relaxed

a b c (Å): 4.045 4.045 13.808
angles (deg): 83.97 83.97 88.98
Each line ends with the local moment (μB).
Element x y z (fractional)
Pt  0.060  0.559  0.838  0.05
Pt  0.559  0.060  0.838  0.05
Pt  0.358  0.358  0.430  -0.05
Pt  0.940  0.441  0.162  0.05
Pt  0.441  0.940  0.162  0.05
Pt  0.500  0.500  0.000  0.01
Pt  0.642  0.642  0.570  -0.05
U  0.881  0.881  0.358  2.31
U  0.119  0.119  0.642  2.31
Si  0.407  0.407  0.256  0.00
Si  0.593  0.593  0.744  0.00
Tb  0.000  0.000  0.000  0.00

Computed properties:
Its symmetry is C2/m (12). The formation energy without anion corrections comes out at -0.84 eV per atom.

---

3.
LaTlBr2N | GGA-PBE | relaxed

a b c (Å): 6.165 4.215 6.165
angles (deg): 90.00 90.00 90.00
Element x y z (fractional)
N  0.000  0.500  0.000
La  0.000  0.000  0.000
Br  0.000  0.000  0.500
Br  0.500  0.000  0.000
Tl  0.500  0.500  0.500

Computed properties:
Its symmetry is P4/mmm (123). The formation energy without anion corrections comes out at -0.86 eV per atom.

---

4.
CuSiTc2 | GGA-PBE | relaxed

a b c (Å): 4.936 4.936 4.197
angles (deg): 64.84 64.84 35.23
Element x y z (fractional)
Si  0.755  0.755  0.745
Cu  0.480  0.480  0.520
Tc  0.249  0.249  0.251
Tc  0.016  0.016  0.984

Computed properties:
Its symmetry is Imm2 (44). The formation energy without anion corrections comes out at -0.11 eV per atom.

---

5.
Rb3Bi2I9 | GGA-PBE | relaxed

a b c (Å): 8.933 14.665 20.896
angles (deg): 89.64 90.00 90.00
Element x y z (fractional)
I  0.693  0.233  0.711
I  0.023  0.539  0.215
I  0.312  0.041  0.415
I  0.686  0.900  0.056
I  0.807  0.733  0.711
I  0.799  0.807  0.249
I  0.188  0.541  0.415
I  0.997  0.811  0.440
I  0.003  0.189  0.560
I  0.713  0.582  0.387
I  0.497  0.689  0.560
I  0.812  0.459  0.585
I  0.293  0.369  0.093
I  0.287  0.418  0.613
I  0.510  0.638  0.114
I  0.787  0.082  0.387
I  0.707  0.631  0.907
I  0.503  0.311  0.440
I  0.201  0.193  0.751
I  0.193  0.267  0.289
I  0.477  0.039  0.215
I  0.299  0.693  0.751
I  0.010  0.862  0.886
I  0.213  0.918  0.613
I  0.793  0.131  0.907
I  0.490  0.362  0.886
I  0.701  0.307  0.249
I  0.307  0.767  0.289
I  0.990  0.138  0.114
I  0.186  0.600  0.944
I  0.523  0.961  0.785
I  0.688  0.959  0.585
I  0.207  0.869  0.093
I  0.314  0.100  0.944
I  0.814  0.400  0.056
I  0.977  0.461  0.785
Rb  0.586  0.844  0.418
Rb  0.576  0.501  0.737
Rb  0.913  0.676  0.069
Rb  0.924  0.001  0.737
Rb  0.086  0.656  0.582
Rb  0.424  0.499  0.263
Rb  0.414  0.156  0.582
Rb  0.087  0.324  0.931
Rb  0.413  0.824  0.931
Rb  0.587  0.176  0.069
Rb  0.076  0.999  0.263
Rb  0.914  0.344  0.418
Bi  0.991  0.672  0.837
Bi  0.491  0.828  0.163
Bi  0.506  0.168  0.338
Bi  0.994  0.668  0.338
Bi  0.494  0.832  0.662
Bi  0.006  0.332  0.662
Bi  0.509  0.172  0.837
Bi  0.009  0.328  0.163

Computed properties:
The excess energy over the best structure of this formula in the dataset is 0.000 eV per atom. Its symmetry is P2_1/c (14). The formation energy without anion corrections comes out at -0.92 eV per atom.

---

6.
PrNd2Ni2 | GGA-PBE | relaxed

a b c (Å): 3.866 4.470 7.560
angles (deg): 107.19 90.00 90.00
Element x y z (fractional)
Pr  0.000  0.000  0.000
Nd  0.500  0.349  0.697
Nd  0.500  0.651  0.303
Ni  0.000  0.202  0.404
Ni  0.000  0.798  0.596

Computed properties:
The excess energy over the best structure of this formula in the dataset is 0.000 eV per atom. As for the energy of formation from the pure elements: -0.23 eV/atom. Its symmetry is Cmmm (65).

---

7.
La5PmSm8 | GGA-PBE | relaxed

a b c (Å): 8.646 8.646 8.646
angles (deg): 111.25 105.97 111.25
Element x y z (fractional)
Sm  0.677  0.398  0.928
Sm  0.722  0.252  0.323
Sm  0.179  0.741  0.077
Sm  0.336  0.259  0.437
Sm  0.530  0.602  0.278
Sm  0.072  0.748  0.470
Sm  0.563  0.899  0.821
Sm  0.923  0.101  0.664
La  0.861  0.893  0.183
La  0.817  0.678  0.710
La  0.290  0.107  0.968
La  0.032  0.322  0.139
La  0.500  0.000  0.500
Pm  0.250  0.500  0.750

Computed properties:
The excess energy over the best structure of this formula in the dataset is 0.177 eV per atom. As for the energy of formation from the pure elements: 0.22 eV/atom. Its symmetry is I-4 (82).

---

8.
LaCe2Sc | GGA-PBE | relaxed

a b c (Å): 3.414 3.414 9.873
angles (deg): 90.00 90.00 90.00
Each line ends with the local moment (μB).
Element x y z (fractional)
Ce  0.000  0.000  0.761  0.38
Ce  0.000  0.000  0.239  0.38
Sc  0.500  0.500  0.000  0.03
La  0.500  0.500  0.500  0.02

Computed properties:
The excess energy over the best structure of this formula in the dataset is 0.002 eV per atom. As for the energy of formation from the pure elements: 0.12 eV/atom. Its symmetry is P4/mmm (123).

---

9.
YH2O | GGA-PBE | relaxed

a b c (Å): 4.301 3.745 5.923
angles (deg): 90.00 111.10 90.00
Element x y z (fractional)
O  0.795  0.000  0.640
O  0.344  0.500  0.751
Y  0.229  0.000  0.505
Y  0.914  0.500  0.887
H  0.836  0.500  0.277
H  0.276  0.500  0.278
H  0.959  0.000  0.112
H  0.652  0.500  0.271

Computed properties:
The excess energy over the best structure of this formula in the dataset is 0.000 eV per atom. Its symmetry is Pm (6).

---

10.
Na3ThAu4 | GGA-PBE | relaxed

a b c (Å): 5.130 5.130 8.749
angles (deg): 72.95 72.95 60.00
Element x y z (fractional)
Na  0.500  0.500  0.500
Na  0.242  0.242  0.274
Na  0.758  0.758  0.726
Th  0.000  0.000  0.000
Au  0.120  0.120  0.640
Au  0.367  0.367  0.900
Au  0.880  0.880  0.360
Au  0.633  0.633  0.100

Computed properties:
As for the energy of formation from the pure elements: -0.40 eV/atom. Its symmetry is R-3m (166).

---

11.
NbGeH3 | GGA-PBE | relaxed

a b c (Å): 3.553 3.553 3.553
angles (deg): 90.00 90.00 90.00
Element x y z (fractional)
H  0.000  0.000  0.500
H  0.000  0.500  0.000
H  0.500  0.000  0.000
Nb  0.500  0.500  0.500
Ge  0.000  0.000  0.000

Computed properties:
The excess energy over the best structure of this formula in the dataset is 0.536 eV per atom. Its symmetry is Pm-3m (221).

---

What did the fourth record say?
CuSiTc2 | GGA-PBE | relaxed

a b c (Å): 4.936 4.936 4.197
angles (deg): 64.84 64.84 35.23
Element x y z (fractional)
Si  0.755  0.755  0.745
Cu  0.480  0.480  0.520
Tc  0.249  0.249  0.251
Tc  0.016  0.016  0.984

Computed properties:
Its symmetry is Imm2 (44). The formation energy without anion corrections comes out at -0.11 eV per atom.